## Y2BeSb (PBE)

Data for a geometry-optimized Y2BeSb structure.

a b c (Å): 7.254 7.254 7.254
angles (deg): 33.97 33.97 33.97
Sites, in units of the cell vectors:
Y: 0.245 0.245 0.245
Y: 0.755 0.755 0.755
Be: 0.500 0.500 0.500
Sb: 0.000 0.000 0.000

Calculated values
Uncorrected energy (eV per atom): -5.4704
Raw formation energy (eV per atom): -0.2762



## Y2BeSb2 (PBE)

Data for a geometry-optimized Y2BeSb2 structure.

a b c (Å): 7.561 7.561 4.323
angles (deg): 90.00 90.00 90.00
Sites, in units of the cell vectors:
Y: 0.158 0.342 0.000
Y: 0.342 0.842 0.000
Y: 0.658 0.158 0.000
Y: 0.842 0.658 0.000
Be: 0.000 0.000 0.500
Be: 0.500 0.500 0.500
Sb: 0.156 0.656 0.500
Sb: 0.344 0.156 0.500
Sb: 0.656 0.844 0.500
Sb: 0.844 0.344 0.500

Calculated values
Uncorrected energy (eV per atom): -5.4292
Raw formation energy (eV per atom): -0.4493



## Y2BeSb (PBE)

Data for a geometry-optimized Y2BeSb structure.

a b c (Å): 3.555 3.555 7.992
angles (deg): 90.00 90.00 101.18
Sites, in units of the cell vectors:
Y: 0.000 0.000 0.000
Y: 0.500 0.500 0.342
Be: 0.500 0.500 0.757
Sb: 0.000 0.000 0.610

Calculated values
Uncorrected energy (eV per atom): -5.2886
Raw formation energy (eV per atom): -0.0944



## YZrBe2Sb (PBE)

Data for a geometry-optimized YZrBe2Sb structure.

a b c (Å): 4.832 4.832 5.256
angles (deg): 90.00 90.00 90.00
Sites, in units of the cell vectors:
Y: 0.000 0.000 0.000
Zr: 0.000 0.000 0.500
Be: 0.000 0.500 0.000
Be: 0.500 0.000 0.000
Sb: 0.500 0.500 0.500

Calculated values
Uncorrected energy (eV per atom): -3.7951
Raw formation energy (eV per atom): 1.5223



## Be2ZnSb (PBE)

Data for a geometry-optimized Be2ZnSb structure.

a b c (Å): 4.075 4.075 3.925
angles (deg): 100.71 100.71 93.27
Sites, in units of the cell vectors:
Be: 0.000 0.500 0.000
Be: 0.500 0.000 0.000
Zn: 0.000 0.000 0.500
Sb: 0.500 0.500 0.500

Calculated values
Uncorrected energy (eV per atom): -2.6742
Raw formation energy (eV per atom): 0.5380



## BeZnSb2 (PBE)

Data for a geometry-optimized BeZnSb2 structure.

a b c (Å): 4.814 4.814 3.555
angles (deg): 90.00 90.00 98.99
Sites, in units of the cell vectors:
Be: 0.000 0.000 0.000
Zn: 0.500 0.500 0.000
Sb: 0.000 0.500 0.500
Sb: 0.500 0.000 0.500

Calculated values
Uncorrected energy (eV per atom): -2.8144
Raw formation energy (eV per atom): 0.4968



## Be2ZnSb (PBE)

Data for a geometry-optimized Be2ZnSb structure.

a b c (Å): 3.408 3.408 5.720
angles (deg): 90.00 90.00 105.03
Sites, in units of the cell vectors:
Be: 0.000 0.000 0.190
Be: 0.000 0.000 0.810
Zn: 0.500 0.500 0.000
Sb: 0.500 0.500 0.500

Calculated values
Uncorrected energy (eV per atom): -2.6703
Raw formation energy (eV per atom): 0.5419



## BeZnSb2 (PBE)

Data for a geometry-optimized BeZnSb2 structure.

a b c (Å): 3.492 3.492 7.503
angles (deg): 90.00 90.00 90.00
Sites, in units of the cell vectors:
Be: 0.000 0.000 0.000
Zn: 0.500 0.500 0.833
Sb: 0.000 0.000 0.651
Sb: 0.500 0.500 0.183

Calculated values
Uncorrected energy (eV per atom): -3.0381
Raw formation energy (eV per atom): 0.2731



## Be2Zn2Sb (PBE)

Data for a geometry-optimized Be2Zn2Sb structure.

a b c (Å): 7.511 7.511 2.759
angles (deg): 90.00 90.00 90.00
Sites, in units of the cell vectors:
Be: 0.107 0.393 0.000
Be: 0.393 0.893 0.000
Be: 0.607 0.107 0.000
Be: 0.893 0.607 0.000
Zn: 0.169 0.669 0.500
Zn: 0.331 0.169 0.500
Zn: 0.669 0.831 0.500
Zn: 0.831 0.331 0.500
Sb: 0.000 0.000 0.500
Sb: 0.500 0.500 0.500

Calculated values
Uncorrected energy (eV per atom): -2.3865
Raw formation energy (eV per atom): 0.4380



## BeZnSb2 (PBE)

Data for a geometry-optimized BeZnSb2 structure.

a b c (Å): 3.290 3.290 7.615
angles (deg): 90.00 90.00 90.00
Sites, in units of the cell vectors:
Be: 0.000 0.000 0.000
Zn: 0.000 0.000 0.500
Sb: 0.500 0.500 0.212
Sb: 0.500 0.500 0.788

Calculated values
Uncorrected energy (eV per atom): -2.8823
Raw formation energy (eV per atom): 0.4290



## BeZn2Sb (PBE)

Data for a geometry-optimized BeZn2Sb structure.

a b c (Å): 4.644 4.644 4.644
angles (deg): 60.00 60.00 60.00
Sites, in units of the cell vectors:
Be: 0.000 0.000 0.000
Zn: 0.250 0.250 0.250
Zn: 0.500 0.500 0.500
Sb: 0.750 0.750 0.750

Calculated values
Uncorrected energy (eV per atom): -2.1090
Raw formation energy (eV per atom): 0.4901



## Be2Zn2Sb (PBE)

Data for a geometry-optimized Be2Zn2Sb structure.

a b c (Å): 7.139 7.139 3.027
angles (deg): 90.00 90.00 90.00
Sites, in units of the cell vectors:
Be: 0.114 0.386 0.000
Be: 0.386 0.886 0.000
Be: 0.614 0.114 0.000
Be: 0.886 0.614 0.000
Zn: 0.170 0.670 0.500
Zn: 0.330 0.170 0.500
Zn: 0.670 0.830 0.500
Zn: 0.830 0.330 0.500
Sb: 0.000 0.000 0.000
Sb: 0.500 0.500 0.000

Calculated values
Uncorrected energy (eV per atom): -2.4129
Raw formation energy (eV per atom): 0.4117



## BeZnSb2 (PBE)

Data for a geometry-optimized BeZnSb2 structure.

a b c (Å): 3.066 3.767 7.612
angles (deg): 90.00 93.18 90.00
Sites, in units of the cell vectors:
Be: 0.000 0.000 0.000
Zn: 0.000 0.000 0.500
Sb: 0.157 0.500 0.219
Sb: 0.843 0.500 0.781

Calculated values
Uncorrected energy (eV per atom): -2.9795
Raw formation energy (eV per atom): 0.3317



## BeZnSb2 (PBE)

Data for a geometry-optimized BeZnSb2 structure.

a b c (Å): 3.881 3.924 5.519
angles (deg): 90.00 90.00 90.00
Sites, in units of the cell vectors:
Be: 0.000 0.000 0.000
Zn: 0.500 0.000 0.500
Sb: 0.000 0.500 0.500
Sb: 0.500 0.500 0.000

Calculated values
Uncorrected energy (eV per atom): -2.8569
Raw formation energy (eV per atom): 0.4543



## Be2ZnSb (PBE)

Data for a geometry-optimized Be2ZnSb structure.

a b c (Å): 2.837 3.958 5.891
angles (deg): 90.00 102.90 90.00
Sites, in units of the cell vectors:
Be: 0.196 0.000 0.343
Be: 0.804 0.000 0.657
Zn: 0.000 0.500 0.500
Sb: 0.000 0.500 0.000

Calculated values
Uncorrected energy (eV per atom): -2.7880
Raw formation energy (eV per atom): 0.4242



## BeZn2Sb2 (PBE)

Data for a geometry-optimized BeZn2Sb2 structure.

a b c (Å): 6.823 6.823 4.252
angles (deg): 90.00 90.00 90.00
Sites, in units of the cell vectors:
Be: 0.000 0.000 0.000
Be: 0.500 0.500 0.000
Zn: 0.133 0.367 0.000
Zn: 0.367 0.867 0.000
Zn: 0.633 0.133 0.000
Zn: 0.867 0.633 0.000
Sb: 0.186 0.686 0.500
Sb: 0.314 0.186 0.500
Sb: 0.686 0.814 0.500
Sb: 0.814 0.314 0.500

Calculated values
Uncorrected energy (eV per atom): -2.4687
Raw formation energy (eV per atom): 0.4351



## BeZn2Sb (PBE)

Data for a geometry-optimized BeZn2Sb structure.

a b c (Å): 4.634 4.634 3.729
angles (deg): 90.00 90.00 116.37
Sites, in units of the cell vectors:
Be: 0.000 0.000 0.000
Zn: 0.000 0.500 0.500
Zn: 0.500 0.000 0.500
Sb: 0.500 0.500 0.000

Calculated values
Uncorrected energy (eV per atom): -2.2266
Raw formation energy (eV per atom): 0.3725



## BeZnSb2 (PBE)

Data for a geometry-optimized BeZnSb2 structure.

a b c (Å): 4.863 4.863 4.863
angles (deg): 60.00 60.00 60.00
Sites, in units of the cell vectors:
Be: 0.000 0.000 0.000
Zn: 0.500 0.500 0.500
Sb: 0.250 0.250 0.250
Sb: 0.750 0.750 0.750

Calculated values
Uncorrected energy (eV per atom): -2.8035
Raw formation energy (eV per atom): 0.5077



## Be2ZnSb (PBE)

Data for a geometry-optimized Be2ZnSb structure.

a b c (Å): 4.164 4.164 5.322
angles (deg): 101.06 101.06 43.05
Sites, in units of the cell vectors:
Be: 0.241 0.241 0.162
Be: 0.759 0.759 0.838
Zn: 0.500 0.500 0.000
Sb: 0.000 0.000 0.500

Calculated values
Uncorrected energy (eV per atom): -2.8386
Raw formation energy (eV per atom): 0.3736



## BeZn2Sb (PBE)

Data for a geometry-optimized BeZn2Sb structure.

a b c (Å): 4.916 4.916 4.916
angles (deg): 133.75 122.94 76.39
Sites, in units of the cell vectors:
Be: 0.000 0.000 0.000
Zn: 0.516 0.516 0.000
Zn: 0.786 0.286 0.500
Sb: 0.232 0.732 0.500

Calculated values
Uncorrected energy (eV per atom): -2.2058
Raw formation energy (eV per atom): 0.3933